No. 1
The following is a DFT calculation (PBE) of a geometry-optimized TmLuMnCo structure.

Properties
**Formation enthalpy at 0 K**: -0.001 eV/atom
**DOS at the Fermi energy**: 3.8 states/eV/f.u.

a = 4.787 Å, b = 4.787 Å, c = 4.787 Å
α = 60.00°, β = 60.00°, γ = 60.00°
Fractional coordinates of all 4 atoms:
Tm: 0.000 0.000 0.000
Lu: 0.500 0.500 0.500
Mn: 0.750 0.750 0.750
Co: 0.250 0.250 0.250



No. 2
The following is a DFT calculation (PBE) of a geometry-optimized TeAs2RhSe structure.

Properties
**DOS at the Fermi energy**: 5.0 states/eV/f.u.
**ΔE to the lowest computed polymorph**: 0.0 meV/atom
**E_form (uncorrected)**: 0.36 eV/atom

a = 4.761 Å, b = 4.761 Å, c = 5.129 Å
α = 90.00°, β = 90.00°, γ = 90.00°
Fractional coordinates of all 5 atoms:
Te: 0.000 0.000 0.000
As: 0.000 0.500 0.500
As: 0.500 0.000 0.500
Rh: 0.500 0.500 0.500
Se: 0.500 0.500 0.000



No. 3
The following is a DFT calculation (PBE) of a geometry-optimized Re3BiRh structure.

Properties
**Formation enthalpy at 0 K**: 2.085 eV/atom
**DOS at the Fermi energy**: 8.1 states/eV/f.u.
**ΔE to the lowest computed polymorph**: 0.0 meV/atom

a = 4.745 Å, b = 4.745 Å, c = 4.745 Å
α = 90.00°, β = 90.00°, γ = 90.00°
Fractional coordinates of all 5 atoms:
Re: 0.000 0.000 0.500
Re: 0.000 0.500 0.000
Re: 0.500 0.000 0.000
Bi: 0.500 0.500 0.500
Rh: 0.000 0.000 0.000



No. 4
The following is a DFT calculation (PBE) of a geometry-optimized HfB2TeSe structure.

Properties
**DOS at the Fermi energy**: 2.7 states/eV/f.u.
**E_form (uncorrected)**: 1.61 eV/atom

a = 4.264 Å, b = 4.264 Å, c = 5.439 Å
α = 90.00°, β = 90.00°, γ = 90.00°
Fractional coordinates of all 5 atoms:
Hf: 0.000 0.000 0.000
B: 0.000 0.500 0.500
B: 0.500 0.000 0.500
Te: 0.500 0.500 0.500
Se: 0.500 0.500 0.000



No. 5
The following is a DFT calculation (PBE) of a geometry-optimized Co2MoRh structure.

Properties
**Formation enthalpy at 0 K**: 0.091 eV/atom
**DOS at the Fermi energy**: 4.7 states/eV/f.u.
**ΔE to the lowest computed polymorph**: 129.6 meV/atom

a = 4.494 Å, b = 2.675 Å, c = 4.585 Å
α = 90.00°, β = 109.22°, γ = 90.00°
Fractional coordinates of all 4 atoms:
Co: 0.000 0.000 0.000
Co: 0.000 0.500 0.500
Mo: 0.500 0.000 0.500
Rh: 0.500 0.500 0.000



No. 6
The following is a DFT calculation (PBE) of a geometry-optimized Pr2Zn2Au3 structure.

Properties
**Formation enthalpy at 0 K**: -0.587 eV/atom
**DOS at the Fermi energy**: 5.3 states/eV/f.u.
**ΔE to the lowest computed polymorph**: 36.8 meV/atom

a = 5.708 Å, b = 5.708 Å, c = 7.313 Å
α = 110.78°, β = 110.78°, γ = 43.70°
Fractional coordinates of all 7 atoms:
Pr: 0.135 0.135 0.263
Pr: 0.865 0.865 0.737
Zn: 0.151 0.151 0.711
Zn: 0.849 0.849 0.289
Au: 0.379 0.379 0.067
Au: 0.500 0.500 0.500
Au: 0.621 0.621 0.933



No. 7
The following is a DFT calculation (PBE) of a geometry-optimized Pr7Rh2Au2 structure.

Properties
**Formation enthalpy at 0 K**: -0.529 eV/atom
**DOS at the Fermi energy**: 11.7 states/eV/f.u.
**ΔE to the lowest computed polymorph**: 0.0 meV/atom

a = 9.677 Å, b = 9.677 Å, c = 9.677 Å
α = 156.02°, β = 66.79°, γ = 118.71°
Fractional coordinates of all 11 atoms:
Pr: 0.000 0.000 0.000
Pr: 0.268 0.374 0.894
Pr: 0.281 0.592 0.689
Pr: 0.480 0.374 0.106
Pr: 0.597 0.214 0.384
Pr: 0.830 0.214 0.616
Pr: 0.903 0.592 0.311
Rh: 0.209 0.709 0.500
Rh: 0.626 0.626 0.000
Au: 0.118 0.881 0.237
Au: 0.644 0.881 0.763



No. 8
The following is a DFT calculation (PBE) of a geometry-optimized Si2SO structure.

Properties
**DOS at the Fermi energy**: 1.2 states/eV/f.u.
**ΔE to the lowest computed polymorph**: 0.0 meV/atom
**E_form (uncorrected)**: -0.27 eV/atom

a = 7.063 Å, b = 7.063 Å, c = 7.063 Å
α = 144.74°, β = 144.74°, γ = 50.73°
Fractional coordinates of all 8 atoms:
Si: 0.007 0.625 0.882
Si: 0.375 0.257 0.382
Si: 0.743 0.125 0.118
Si: 0.875 0.993 0.618
S: 0.250 0.750 0.500
S: 0.500 0.500 0.000
O: 0.000 0.000 0.000
O: 0.750 0.250 0.500



- DOS at the Fermi energy of number 5 (Co2MoRh)?
  4.7 states/eV/f.u.